No. 1
Density functional theory data (PBE) for an optimized crystal structure of Cs4Au3F12.

Values from the calculation:
Size of the total moment   1.1 μB/f.u.
Density of states at the Fermi level   8.17 states/eV per cell
Electronic total energy   -3.741 eV per atom
Formation energy (no corrections)   -1862 meV per atom

abc: 8.846 8.846 8.846
angles: 109.47 109.47 109.47
Site moments in Bohr magnetons follow the coordinates.
Fractional positions:
Cs1 0.500 0.500 0.500  0.00
Cs2 0.500 0.000 0.000  0.00
Cs3 0.000 0.000 0.500  0.00
Cs4 0.000 0.500 0.000  0.00
Au1 0.500 0.500 0.000  0.20
Au2 0.000 0.500 0.500  0.20
Au3 0.500 0.000 0.500  0.20
F1 0.139 0.640 0.779  0.04
F2 0.861 0.360 0.221  0.04
F3 0.139 0.360 0.499  0.04
F4 0.360 0.221 0.861  0.04
F5 0.779 0.139 0.640  0.04
F6 0.501 0.861 0.640  0.04
F7 0.640 0.501 0.861  0.04
F8 0.221 0.861 0.360  0.04
F9 0.861 0.640 0.501  0.04
F10 0.640 0.779 0.139  0.04
F11 0.499 0.139 0.360  0.04
F12 0.360 0.499 0.139  0.04

No. 2
Density functional theory data (PBE) for an optimized crystal structure of Cs4AuF.

Values from the calculation:
Size of the total moment   0.2 μB/f.u.
Density of states at the Fermi level   8.24 states/eV per cell
Electronic total energy   -2.391 eV per atom
Formation energy (no corrections)   -964 meV per atom

abc: 8.782 8.782 10.746
angles: 90.00 90.00 92.30
Fractional positions:
Cs1 0.696 0.304 0.965
Cs2 0.304 0.696 0.465
Cs3 0.149 0.237 0.750
Cs4 0.851 0.763 0.250
Cs5 0.696 0.304 0.535
Cs6 0.304 0.696 0.035
Cs7 0.237 0.149 0.250
Cs8 0.763 0.851 0.750
Au1 0.528 0.472 0.250
Au2 0.472 0.528 0.750
F1 0.832 0.168 0.750
F2 0.168 0.832 0.250

No. 3
Density functional theory data (PBE) for an optimized crystal structure of CsAuF3.

Values from the calculation:
Size of the total moment   0.0 μB/f.u.
Density of states at the Fermi level   1.19 states/eV per cell
Electronic total energy   -3.590 eV per atom
Formation energy (no corrections)   -1641 meV per atom

abc: 4.432 4.432 4.432
angles: 90.00 90.00 90.00
Fractional positions:
Cs1 0.500 0.500 0.500
Au1 0.000 0.000 0.000
F1 0.000 0.500 0.000
F2 0.000 0.000 0.500
F3 0.500 0.000 0.000

No. 4
Density functional theory data (PBE) for an optimized crystal structure of Cs2AuF3.

Values from the calculation:
Size of the total moment   0.0 μB/f.u.
Density of states at the Fermi level   0.00 states/eV per cell
Electronic total energy   -3.663 eV per atom
Formation energy (no corrections)   -1897 meV per atom

abc: 6.467 6.467 7.898
angles: 90.00 90.00 110.30
Fractional positions:
Cs1 0.186 0.814 0.000
Cs2 0.814 0.186 0.500
Cs3 0.814 0.186 0.000
Cs4 0.186 0.814 0.500
Au1 0.468 0.468 0.250
Au2 0.532 0.532 0.750
F1 0.183 0.183 0.250
F2 0.817 0.817 0.750
F3 0.555 0.847 0.250
F4 0.445 0.153 0.750
F5 0.847 0.555 0.250
F6 0.153 0.445 0.750